Below is an optimized crystal structure of K3AcW2O9, with properties calculated at the PBE with a Hubbard U level.

Summary:
ρ = 6098 kg/m³
symmetry = No. 164
D(E_F) = 0.00 states/eV per atom
calculated total energy = -0.2459 Ha/atom

The structure in CIF format:
```
data_K3AcW2O9
_cell_length_a 5.9212
_cell_length_b 5.9212
_cell_length_c 7.6764
_cell_angle_alpha 90.00
_cell_angle_beta 90.00
_cell_angle_gamma 120.00
_space_group_name_H-M_alt 'P 1'
_space_group_IT_number 1
loop_
_space_group_symop_operation_xyz
'x,y,z'
loop_
_atom_site_label
_atom_site_fract_x
_atom_site_fract_y
_atom_site_fract_z
_atom_site_occupancy
K1 0.3333 0.6667 0.7028 1
K2 0.0000 0.0000 0.0000 1
K3 0.6667 0.3333 0.2972 1
Ac1 0.0000 0.0000 0.5000 1
W1 0.3333 0.6667 0.1541 1
W2 0.6667 0.3333 0.8459 1
O1 0.8190 0.1810 0.7085 1
O2 0.8190 0.6381 0.7085 1
O3 0.3619 0.1810 0.7085 1
O4 0.6381 0.8190 0.2915 1
O5 0.1810 0.3619 0.2915 1
O6 0.1810 0.8190 0.2915 1
O7 0.5000 0.0000 0.0000 1
O8 0.0000 0.5000 0.0000 1
O9 0.5000 0.5000 0.0000 1
```